MoBrCl4 | PBE | relaxed

## Properties
energy relative to the elements, uncorrected	-0.5093	eV per atom
size of the total moment	1.0	μB per formula unit
excess energy over the best structure of this formula in the dataset	0.0	meV per atom
total energy	-3.82	eV/atom

Cell lengths 7.1690, 7.1689, 7.1689 Å; angles 121.61, 121.61, 87.23 degrees
Site moments in Bohr magnetons follow the coordinates.
Fractional positions:
Mo 0.5000 0.5000 0.0000  1.08
Br 0.7500 0.2500 0.5000  -0.26
Cl 0.3815 0.5161 0.6569  0.03
Cl 0.8592 0.7245 0.3431  0.03
Cl 0.2754 0.6185 0.1346  0.03
Cl 0.4839 0.1409 0.8654  0.03

MoBr2Cl | PBE | relaxed

## Properties
energy relative to the elements, uncorrected	-0.1995	eV per atom
size of the total moment	0.0	μB per formula unit
excess energy over the best structure of this formula in the dataset	306.3	meV per atom
total energy	-4.21	eV/atom

Cell lengths 9.3511, 9.3511, 7.0332 Å; angles 48.33, 48.33, 90.00 degrees
Fractional positions:
Mo 0.0000 0.0000 0.0000
Mo 0.7500 0.2500 0.5000
Br 0.7701 0.1250 0.2500
Br 0.9799 0.6250 0.2500
Br 0.3750 0.2299 0.7500
Br 0.8750 0.0201 0.7500
Cl 0.5000 0.5000 0.0000
Cl 0.2500 0.7500 0.5000

MoBr2Cl | PBE | relaxed

## Properties
energy relative to the elements, uncorrected	0.4752	eV per atom
size of the total moment	0.6	μB per formula unit
excess energy over the best structure of this formula in the dataset	981.0	meV per atom
total energy	-3.53	eV/atom

Cell lengths 11.8380, 11.8380, 11.8380 Å; angles 15.33, 15.33, 15.33 degrees
Site moments in Bohr magnetons follow the coordinates.
Fractional positions:
Mo 0.0000 0.0000 0.0000  0.00
Br 0.9318 0.9318 0.9318  0.01
Br 0.0682 0.0682 0.0682  0.01
Cl 0.5000 0.5000 0.5000  0.45

MoBrCl2 | PBE | relaxed

## Properties
energy relative to the elements, uncorrected	0.5480	eV per atom
size of the total moment	3.0	μB per formula unit
excess energy over the best structure of this formula in the dataset	1159.4	meV per atom
total energy	-3.50	eV/atom

Cell lengths 4.8822, 4.8822, 4.8822 Å; angles 60.00, 60.00, 60.00 degrees
Site moments in Bohr magnetons follow the coordinates.
Fractional positions:
Mo 0.5000 0.5000 0.5000  3.04
Br 0.0000 0.0000 0.0000  -0.18
Cl 0.2500 0.2500 0.2500  -0.11
Cl 0.7500 0.7500 0.7500  -0.11

MoBr2Cl | PBE | relaxed

## Properties
energy relative to the elements, uncorrected	0.0633	eV per atom
size of the total moment	1.2	μB per formula unit
excess energy over the best structure of this formula in the dataset	569.2	meV per atom
total energy	-3.94	eV/atom

Cell lengths 3.4339, 3.4339, 11.3536 Å; angles 90.00, 90.00, 127.74 degrees
Site moments in Bohr magnetons follow the coordinates.
Fractional positions:
Mo 0.5000 0.5000 0.7466  1.00
Br 0.0000 0.0000 0.9273  0.01
Br 0.5000 0.5000 0.2471  0.00
Cl 0.0000 0.0000 0.5790  0.02

MoBrCl | PBE | relaxed

## Properties
energy relative to the elements, uncorrected	-0.6299	eV per atom
size of the total moment	0.0	μB per formula unit
excess energy over the best structure of this formula in the dataset	0.0	meV per atom
total energy	-5.41	eV/atom

Cell lengths 4.1579, 5.2352, 8.6986 Å; angles 107.48, 113.08, 87.72 degrees
Fractional positions:
Mo 0.1888 0.1482 0.0000
Mo 0.8112 0.8518 0.0000
Br 0.2846 0.8718 0.7296
Br 0.7154 0.1282 0.2704
Cl 0.8392 0.4044 0.7980
Cl 0.1608 0.5956 0.2020